# 1
# CaBi3O (PBE, relaxed)
# - Uncorrected energy: -2.672 eV/atom
# - Polymorph energy (0 for the lowest one): 1561 meV per atom
# - Raw formation energy: 5.24 eV/f.u.
data_CaBi3O
_chemical_formula_sum 'Ca1 Bi3 O1'
_space_group_name_H-M_alt 'P m -3 m'
_space_group_IT_number 221
_space_group_name_Hall '-P 4 2 3'
_cell_length_a 5.797
_cell_length_b 5.797
_cell_length_c 5.797
_cell_angle_alpha 90.00
_cell_angle_beta 90.00
_cell_angle_gamma 90.00
loop_
_atom_site_label
_atom_site_fract_x
_atom_site_fract_y
_atom_site_fract_z
Ca1 0.000 0.000 0.000
Bi1 0.000 0.000 0.500
O1 0.500 0.500 0.500

---

# 2
# NaNiBrCl2 (PBE, relaxed)
# - Uncorrected energy: -3.327 eV/atom
# - Raw formation energy: -4.17 eV/f.u.
data_NaNiBrCl2
_chemical_formula_sum 'Na1 Ni1 Br1 Cl2'
_space_group_name_H-M_alt 'P 4/m m m'
_space_group_IT_number 123
_space_group_name_Hall '-P 4 2'
_cell_length_a 4.670
_cell_length_b 4.670
_cell_length_c 5.079
_cell_angle_alpha 90.00
_cell_angle_beta 90.00
_cell_angle_gamma 90.00
loop_
_atom_site_label
_atom_site_fract_x
_atom_site_fract_y
_atom_site_fract_z
Na1 0.000 0.000 0.000
Ni1 0.500 0.500 0.500
Br1 0.500 0.500 0.000
Cl1 0.000 0.500 0.500

---

# 3
# In2Pt9Pb (PBE, relaxed)
# - Uncorrected energy: -5.590 eV/atom
# - Formation enthalpy at 0 K: -3.5 eV per formula unit
data_In2Pt9Pb
_chemical_formula_sum 'In2 Pt9 Pb1'
_space_group_name_H-M_alt 'P 4/m m m'
_space_group_IT_number 123
_space_group_name_Hall '-P 4 2'
_cell_length_a 4.075
_cell_length_b 4.075
_cell_length_c 12.238
_cell_angle_alpha 90.00
_cell_angle_beta 90.00
_cell_angle_gamma 90.00
loop_
_atom_site_label
_atom_site_fract_x
_atom_site_fract_y
_atom_site_fract_z
In1 0.000 0.000 0.163
Pt1 0.000 0.500 0.000
Pt2 0.000 0.500 0.326
Pt3 0.500 0.500 0.164
Pt4 0.500 0.500 0.500
Pb1 0.000 0.000 0.500

---

# 4
# RbZnAsBr6 (PBE, relaxed)
# - Uncorrected energy: -2.720 eV/atom
# - Raw formation energy: -7.56 eV/f.u.
data_RbZnAsBr6
_chemical_formula_sum 'Rb1 Zn1 As1 Br6'
_space_group_name_H-M_alt 'P 3 1 2'
_space_group_IT_number 149
_cell_length_a 6.9258
_cell_length_b 6.9258
_cell_length_c 7.7775
_cell_angle_alpha 90.00
_cell_angle_beta 90.00
_cell_angle_gamma 120.00
loop_
_space_group_symop_operation_xyz
'x,y,z'
'-y,x-y,z'
'-x+y,-x,z'
'-y,-x,-z'
'-x+y,y,-z'
'x,x-y,-z'
loop_
_atom_site_label
_atom_site_fract_x
_atom_site_fract_y
_atom_site_fract_z
Rb1 0.0000 0.0000 0.0000
Zn1 0.6667 0.3333 0.5000
As1 0.3333 0.6667 0.5000
Br1 0.3749 0.0038 0.6971

---

# 5
# NiTeBr2 (PBE, relaxed)
# - Uncorrected energy: -3.190 eV/atom
# - Polymorph energy (0 for the lowest one): 125 meV per atom
# - Raw formation energy: -0.49 eV/f.u.
data_NiTeBr2
_chemical_formula_sum 'Ni1 Te1 Br2'
_space_group_name_H-M_alt 'P 1 m 1'
_space_group_IT_number 6
_cell_length_a 5.314
_cell_length_b 3.640
_cell_length_c 5.614
_cell_angle_alpha 90.00
_cell_angle_beta 106.38
_cell_angle_gamma 90.00
loop_
_space_group_symop_operation_xyz
'x,y,z'
'x,-y,z'
loop_
_atom_site_label
_atom_site_fract_x
_atom_site_fract_y
_atom_site_fract_z
Ni1 0.000 0.000 0.000
Te1 0.680 0.500 0.855
Br1 0.323 0.500 0.161
Br2 0.978 0.000 0.542

---

# 6
# FeSn2 (PBE, relaxed)
# - Uncorrected energy: -5.363 eV/atom
# - Formation enthalpy at 0 K: 0.4 eV per formula unit
data_FeSn2
_chemical_formula_sum 'Fe1 Sn2'
_space_group_name_H-M_alt 'P 4/m m m'
_space_group_IT_number 123
_space_group_name_Hall '-P 4 2'
_cell_length_a 3.167
_cell_length_b 3.167
_cell_length_c 6.076
_cell_angle_alpha 90.00
_cell_angle_beta 90.00
_cell_angle_gamma 90.00
loop_
_atom_site_label
_atom_site_fract_x
_atom_site_fract_y
_atom_site_fract_z
Fe1 0.000 0.000 0.000
Sn1 0.500 0.500 0.259